Density functional theory data (meta-GGA SCAN) for a crystal of BaCa3Os relaxed with PBEsol.

The formation energy from the elements comes out at 10.229 eV per formula unit. Its total magnetization is 2.28 μB/f.u. Its raw total energy is -130.2 eV/cell. The crystal system is cubic. Its density of states at the Fermi level is 3.700 states/eV/cell.

Geometry as CIF:
```
data_BaCa3Os
_symmetry_space_group_name_H-M 'P m -3 m'
_symmetry_Int_Tables_number 221
_symmetry_space_group_name_Hall '-P 4 2 3'
_cell_length_a 5.4390
_cell_length_b 5.4390
_cell_length_c 5.4390
_cell_angle_alpha 90.00
_cell_angle_beta 90.00
_cell_angle_gamma 90.00
loop_
_atom_site_label
_atom_site_fract_x
_atom_site_fract_y
_atom_site_fract_z
_atom_site_occupancy
Ba1 0.0000 0.0000 0.0000 1
Ca1 0.0000 0.0000 0.5000 1
Os1 0.5000 0.5000 0.5000 1
```